No. 1
# Mg2TaTe | Alexandria via LeMat-Bulk | GGA-PBE | optimized geometry
# N(E_F) ... 0.786 states/eV per atom
# Crystal system ... tetragonal
# Energy relative to the elements, uncorrected ... 0.329 eV per atom
data_Mg2TaTe
_chemical_formula_sum 'Mg2 Ta1 Te1'
_cell_length_a 4.498
_cell_length_b 4.498
_cell_length_c 4.073
_cell_angle_alpha 90.00
_cell_angle_beta 90.00
_cell_angle_gamma 90.00
_space_group_name_H-M_alt 'P 4/m m m'
_space_group_IT_number 123
_space_group_name_Hall '-P 4 2'
loop_
_atom_site_label
_atom_site_type_symbol
_atom_site_fract_x
_atom_site_fract_y
_atom_site_fract_z
Mg1 Mg 0.000 0.500 0.000
Ta1 Ta 0.000 0.000 0.500
Te1 Te 0.500 0.500 0.500


No. 2
# Pm5Sm8Dy | Alexandria via LeMat-Bulk | GGA-PBE | optimized geometry
# N(E_F) ... 1.444 states/eV per atom
# Crystal system ... tetragonal
# E_form ... 241 meV/atom
data_Pm5Sm8Dy
_chemical_formula_sum 'Pm10 Sm16 Dy2'
_cell_length_a 9.730
_cell_length_b 9.730
_cell_length_c 10.244
_cell_angle_alpha 90.00
_cell_angle_beta 90.00
_cell_angle_gamma 90.00
_space_group_name_H-M_alt 'I -4'
_space_group_IT_number 82
_space_group_name_Hall 'I -4'
loop_
_atom_site_label
_atom_site_type_symbol
_atom_site_fract_x
_atom_site_fract_y
_atom_site_fract_z
Pm1 Pm 0.000 0.000 0.000
Pm2 Pm 0.108 0.790 0.424
Sm1 Sm 0.070 0.674 0.097
Sm2 Sm 0.084 0.820 0.754
Dy1 Dy 0.000 0.500 0.750


No. 3
# NbRuN2 | Alexandria via LeMat-Bulk | GGA-PBE | optimized geometry
# ΔE to the lowest computed polymorph ... 0.566 eV per atom
# N(E_F) ... 0.933 states/eV per atom
# Crystal system ... cubic
# Energy relative to the elements, uncorrected ... 0.359 eV per atom
data_NbRuN2
_chemical_formula_sum 'Nb4 Ru4 N8'
_cell_length_a 5.472
_cell_length_b 5.472
_cell_length_c 5.472
_cell_angle_alpha 90.00
_cell_angle_beta 90.00
_cell_angle_gamma 90.00
_space_group_name_H-M_alt 'F m -3 m'
_space_group_IT_number 225
_space_group_name_Hall '-F 4 2 3'
loop_
_atom_site_label
_atom_site_type_symbol
_atom_site_fract_x
_atom_site_fract_y
_atom_site_fract_z
Nb1 Nb 0.000 0.000 0.000
Ru1 Ru 0.000 0.000 0.500
N1 N 0.250 0.250 0.250


No. 4
# Sm3Tm2In6 | Alexandria via LeMat-Bulk | GGA-PBE | optimized geometry
# N(E_F) ... 0.836 states/eV per atom
# Crystal system ... tetragonal
# E_form ... -189 meV/atom
data_Sm3Tm2In6
_chemical_formula_sum 'Sm6 Tm4 In12'
_cell_length_a 4.706
_cell_length_b 4.706
_cell_length_c 29.055
_cell_angle_alpha 90.00
_cell_angle_beta 90.00
_cell_angle_gamma 90.00
_space_group_name_H-M_alt 'I 4/m m m'
_space_group_IT_number 139
_space_group_name_Hall '-I 4 2'
loop_
_atom_site_label
_atom_site_type_symbol
_atom_site_fract_x
_atom_site_fract_y
_atom_site_fract_z
Sm1 Sm 0.000 0.000 0.000
Sm2 Sm 0.000 0.000 0.202
Tm1 Tm 0.000 0.000 0.447
In1 In 0.000 0.000 0.311
In2 In 0.000 0.500 0.118


No. 5
# Pr6ErS8 | Alexandria via LeMat-Bulk | GGA-PBE | optimized geometry
# N(E_F) ... 0.466 states/eV per atom
# Crystal system ... cubic
# Energy relative to the elements, uncorrected ... -2.044 eV per atom
data_Pr6ErS8
_chemical_formula_sum 'Pr24 Er4 S32'
_cell_length_a 11.555
_cell_length_b 11.555
_cell_length_c 11.555
_cell_angle_alpha 90.00
_cell_angle_beta 90.00
_cell_angle_gamma 90.00
_space_group_name_H-M_alt 'F m -3 m'
_space_group_IT_number 225
_space_group_name_Hall '-F 4 2 3'
loop_
_atom_site_label
_atom_site_type_symbol
_atom_site_fract_x
_atom_site_fract_y
_atom_site_fract_z
Pr1 Pr 0.000 0.250 0.250
Er1 Er 0.000 0.000 0.000
S1 S 0.000 0.000 0.239
S2 S 0.250 0.250 0.250


No. 6
# MgH | Alexandria via LeMat-Bulk | GGA-PBE | optimized geometry
# ΔE to the lowest computed polymorph ... 0.112 eV per atom
# N(E_F) ... 0.120 states/eV per atom
# Crystal system ... monoclinic
data_MgH
_chemical_formula_sum 'Mg4 H4'
_cell_length_a 5.413
_cell_length_b 3.085
_cell_length_c 6.360
_cell_angle_alpha 90.00
_cell_angle_beta 94.01
_cell_angle_gamma 90.00
_space_group_name_H-M_alt 'C 1 m 1'
_space_group_IT_number 8
_space_group_name_Hall 'C -2y'
loop_
_atom_site_label
_atom_site_type_symbol
_atom_site_fract_x
_atom_site_fract_y
_atom_site_fract_z
Mg1 Mg 0.000 0.000 0.000
Mg2 Mg 0.188 0.500 0.578
H1 H 0.023 0.000 0.432
H2 H 0.340 0.000 0.137


No. 7
# NaZn2CdFe | Alexandria via LeMat-Bulk | GGA-PBE | optimized geometry
# N(E_F) ... 0.798 states/eV per atom
# Crystal system ... tetragonal
# E_form ... 1207 meV/atom
data_NaZn2CdFe
_chemical_formula_sum 'Na1 Zn2 Cd1 Fe1'
_cell_length_a 4.906
_cell_length_b 4.906
_cell_length_c 5.242
_cell_angle_alpha 90.00
_cell_angle_beta 90.00
_cell_angle_gamma 90.00
_space_group_name_H-M_alt 'P 4/m m m'
_space_group_IT_number 123
_space_group_name_Hall '-P 4 2'
loop_
_atom_site_label
_atom_site_type_symbol
_atom_site_fract_x
_atom_site_fract_y
_atom_site_fract_z
Na1 Na 0.000 0.000 0.000
Zn1 Zn 0.000 0.500 0.000
Cd1 Cd 0.000 0.000 0.500
Fe1 Fe 0.500 0.500 0.500


No. 8
# KCu3Br | Alexandria via LeMat-Bulk | GGA-PBE | optimized geometry
# ΔE to the lowest computed polymorph ... 0.694 eV per atom
# N(E_F) ... 1.430 states/eV per atom
# Crystal system ... cubic
# Energy relative to the elements, uncorrected ... 1.468 eV per atom
data_KCu3Br
_chemical_formula_sum 'K1 Cu3 Br1'
_cell_length_a 5.387
_cell_length_b 5.387
_cell_length_c 5.387
_cell_angle_alpha 90.00
_cell_angle_beta 90.00
_cell_angle_gamma 90.00
_space_group_name_H-M_alt 'P m -3 m'
_space_group_IT_number 221
_space_group_name_Hall '-P 4 2 3'
loop_
_atom_site_label
_atom_site_type_symbol
_atom_site_fract_x
_atom_site_fract_y
_atom_site_fract_z
K1 K 0.000 0.000 0.000
Cu1 Cu 0.000 0.000 0.500
Br1 Br 0.500 0.500 0.500


The calculation returns the following energy values, one per record and in order: -0.3099, -0.3293, -0.6351, -0.2780, -0.4749, -0.1782, -0.1060, -0.1135 Ry per atom.
The calculation returns the following total magnetic moment values, one per record and in order: 0.000, 0.000, 0.000, 0.000, 0.000, 0.000, 0.641, 0.000 μB/atom.